DFT (PBE-GGA) results for a relaxed GdHgPt crystal.

extended XYZ file:
```
12
Lattice="6.818 0.000 0.000 0.000 6.818 0.000 0.000 0.000 6.818" Properties=species:S:1:pos:R:3 pbc="T T T"
Gd 0.000 0.000 0.000
Gd 0.000 3.409 3.409
Gd 3.409 0.000 3.409
Gd 3.409 3.409 0.000
Hg 1.705 1.705 5.114
Hg 1.705 5.114 1.705
Hg 5.114 1.705 1.705
Hg 5.114 5.114 5.114
Pt 1.705 1.705 1.705
Pt 1.705 5.114 5.114
Pt 5.114 1.705 5.114
Pt 5.114 5.114 1.705
```

Output
Volume   317.0 Å³/cell
Energy relative to the elements   -397 meV per atom

=====

DFT (PBE-GGA) results for a relaxed GdPuHg crystal.

extended XYZ file:
```
12
Lattice="7.264 0.000 0.000 0.000 7.264 0.000 0.000 0.000 7.264" Properties=species:S:1:pos:R:3 pbc="T T T"
Gd 0.000 0.000 0.000
Gd 0.000 3.632 3.632
Gd 3.632 0.000 3.632
Gd 3.632 3.632 0.000
Pu 0.000 0.000 3.632
Pu 0.000 3.632 0.000
Pu 3.632 0.000 0.000
Pu 3.632 3.632 3.632
Hg 1.816 1.816 1.816
Hg 1.816 5.448 5.448
Hg 5.448 1.816 5.448
Hg 5.448 5.448 1.816
```

Output
Volume   383.4 Å³/cell
Energy relative to the elements   97 meV per atom

=====

DFT (PBE-GGA) results for a relaxed RbGdHgS3 crystal.

extended XYZ file:
```
12
Lattice="8.851 -2.062 0.000 8.851 2.062 0.000 -1.989 0.000 8.844" Properties=species:S:1:pos:R:3 pbc="T T T"
Rb 2.439 0.000 0.597
Rb 13.272 0.000 8.247
Gd 1.845 0.000 5.082
Gd 13.866 0.000 3.762
Hg 8.057 0.000 2.426
Hg 7.654 0.000 6.418
S -0.995 0.000 4.422
S 4.557 0.000 5.561
S 5.481 0.000 1.979
S 8.851 0.000 0.000
S 10.230 0.000 6.865
S 11.155 0.000 3.283
```

Output
Volume   322.8 Å³/cell
Total DFT energy (no corrections)   -50.75 eV per cell

=====

DFT (PBE-GGA) results for a relaxed RbGdHgS3 crystal.

extended XYZ file:
```
12
Lattice="8.382 0.000 0.000 0.000 4.166 0.000 -3.463 0.000 9.993" Properties=species:S:1:pos:R:3 pbc="T T T"
Rb 1.242 1.042 2.225
Rb 3.678 3.125 7.768
Gd -0.656 3.125 6.301
Gd 5.576 1.042 3.693
Hg 0.339 1.042 8.821
Hg 4.581 3.125 1.172
S -0.960 3.125 3.643
S -1.102 3.125 9.368
S 1.246 1.042 6.484
S 3.674 3.125 3.510
S 6.022 1.042 0.626
S 5.880 1.042 6.350
```

Output
Volume   349.0 Å³/cell
Total DFT energy (no corrections)   -51.37 eV per cell

=====

DFT (PBE-GGA) results for a relaxed RbGdHgSe3 crystal.

extended XYZ file:
```
12
Lattice="9.274 -2.128 0.000 9.274 2.128 0.000 -2.022 0.000 9.155" Properties=species:S:1:pos:R:3 pbc="T T T"
Rb 2.531 0.000 0.637
Rb 13.995 0.000 8.517
Gd 2.004 0.000 5.281
Gd 14.523 0.000 3.874
Hg 8.392 0.000 2.542
Hg 8.135 0.000 6.613
Se -1.011 0.000 4.577
Se 4.826 0.000 5.781
Se 5.713 0.000 1.974
Se 9.274 0.000 0.000
Se 10.813 0.000 7.180
Se 11.700 0.000 3.374
```

Output
Volume   361.3 Å³/cell
Total DFT energy (no corrections)   -46.28 eV per cell

=====

DFT (PBE-GGA) results for a relaxed RbGdHgSe3 crystal.

extended XYZ file:
```
12
Lattice="8.721 0.000 0.000 0.000 4.298 0.000 -3.698 0.000 10.298" Properties=species:S:1:pos:R:3 pbc="T T T"
Rb 1.282 1.074 2.248
Rb 3.740 3.223 8.050
Gd -0.757 3.223 6.532
Gd 5.780 1.074 3.767
Hg 0.318 1.074 9.104
Hg 4.705 3.223 1.194
Se -0.983 3.223 3.722
Se -1.275 3.223 9.644
Se 1.271 1.074 6.660
Se 3.751 3.223 3.639
Se 6.298 1.074 0.654
Se 6.005 1.074 6.576
```

Output
Volume   386.0 Å³/cell
Total DFT energy (no corrections)   -47.13 eV per cell